1.
A relaxed Mn2ReCl crystal. Source: Alexandria, functional PBE.

Results
formation energy (no corrections) = 0.65 eV/atom

```
4
Lattice="2.836 0.000 0.000 0.000 4.723 0.000 0.000 0.000 4.723" Properties=species:S:1:pos:R:3 pbc="T T T"
Cl 1.418 0.000 2.361
Mn 0.000 2.361 2.361
Mn 0.000 0.000 0.000
Re 1.418 2.361 0.000
```

2.
A relaxed BaBTe3 crystal. Source: Alexandria, functional PBE.

Results
formation energy (no corrections) = -0.11 eV/atom

```
5
Lattice="5.185 0.000 0.000 0.000 5.185 0.000 0.000 0.000 5.185" Properties=species:S:1:pos:R:3 pbc="T T T"
Te 0.000 2.592 0.000
Te 0.000 0.000 2.592
Te 2.592 0.000 0.000
B 0.000 0.000 0.000
Ba 2.592 2.592 2.592
```

3.
A relaxed RbC2F2 crystal. Source: Alexandria, functional PBE.

Results
formation energy (no corrections) = 0.66 eV/atom

```
5
Lattice="-2.068 -0.915 -1.616 1.751 -0.153 -2.154 1.534 -7.694 0.001" Properties=species:S:1:pos:R:3 pbc="T T T"
F 0.967 -6.499 -2.339
F 0.250 -2.263 -1.430
C 1.563 -4.191 -2.019
C -0.346 -4.571 -1.750
Rb 0.000 0.000 0.000
```